A geometry-optimized Li3Nb4SnO12 structure. Source: Alexandria via LeMat-Bulk, functional PBEsol.

abc: 5.4000 5.5735 7.7369
angles: 87.31 89.92 89.78
Atoms (fractional coordinates):
1 Li 0.0000 0.0000 0.0000
2 Li 0.0103 0.9936 0.5132
3 Li 0.4820 0.5040 0.5148
4 Nb 0.4925 0.9493 0.7225
5 Nb 0.4974 0.9115 0.2331
6 Nb 0.9868 0.4437 0.7136
7 Nb 0.9916 0.4133 0.2329
8 Sn 0.4797 0.4517 0.9849
9 O 0.1086 0.3964 0.4715
10 O 0.1870 0.1241 0.7682
11 O 0.2093 0.6877 0.1651
12 O 0.2647 0.1775 0.1703
13 O 0.2958 0.6338 0.7495
14 O 0.3875 0.9128 0.4714
15 O 0.5991 0.9070 0.9687
16 O 0.6851 0.2427 0.6641
17 O 0.6868 0.5966 0.2749
18 O 0.7895 0.1053 0.2693
19 O 0.7952 0.7343 0.6595
20 O 0.9247 0.4119 0.9681

Calculated values
**SG**: P1
**Formation energy without anion corrections**: -2.302 eV per atom
**Size of the total moment**: 0.0 Bohr magnetons per cell

=====

A geometry-optimized Sr3Li6Nb2O11 structure. Source: Alexandria via LeMat-Bulk, functional PBEsol.

abc: 10.5446 8.3227 5.8068
angles: 90.00 90.00 90.00
Atoms (fractional coordinates):
1 Sr 0.0000 0.2379 0.0000
2 Sr 0.0000 0.7621 0.0000
3 Sr 0.2500 0.5000 0.1195
4 Sr 0.5000 0.2379 0.0000
5 Sr 0.5000 0.7621 0.0000
6 Sr 0.7500 0.5000 0.8805
7 Li 0.0000 0.1450 0.5000
8 Li 0.0000 0.8550 0.5000
9 Li 0.2500 0.1844 0.2789
10 Li 0.2500 0.3537 0.6502
11 Li 0.2500 0.6463 0.6502
12 Li 0.2500 0.8156 0.2789
13 Li 0.5000 0.1450 0.5000
14 Li 0.5000 0.8550 0.5000
15 Li 0.7500 0.1844 0.7211
16 Li 0.7500 0.3537 0.3498
17 Li 0.7500 0.6463 0.3498
18 Li 0.7500 0.8156 0.7211
19 Nb 0.0000 0.5000 0.5000
20 Nb 0.2500 0.0000 0.7643
21 Nb 0.5000 0.5000 0.5000
22 Nb 0.7500 0.0000 0.2357
23 O 0.0586 0.0000 0.7527
24 O 0.1075 0.5000 0.7849
25 O 0.1114 0.3244 0.3670
26 O 0.1114 0.6756 0.3670
27 O 0.2500 0.0000 0.4421
28 O 0.2500 0.2010 0.9323
29 O 0.2500 0.7990 0.9323
30 O 0.3886 0.3244 0.3670
31 O 0.3886 0.6756 0.3670
32 O 0.3925 0.5000 0.7849
33 O 0.4414 0.0000 0.7527
34 O 0.5586 0.0000 0.2473
35 O 0.6075 0.5000 0.2151
36 O 0.6114 0.3244 0.6330
37 O 0.6114 0.6756 0.6330
38 O 0.7500 0.0000 0.5579
39 O 0.7500 0.2010 0.0677
40 O 0.7500 0.7990 0.0677
41 O 0.8886 0.3244 0.6330
42 O 0.8886 0.6756 0.6330
43 O 0.8925 0.5000 0.2151
44 O 0.9414 0.0000 0.2473

Calculated values
**SG**: Pmma
**Formation energy without anion corrections**: -2.518 eV per atom
**Size of the total moment**: 0.0 Bohr magnetons per cell

=====

A geometry-optimized Sr2Li2Nb3O10 structure. Source: Alexandria via LeMat-Bulk, functional PBEsol.

abc: 13.3712 13.3712 13.3712
angles: 162.78 162.78 24.44
Atoms (fractional coordinates):
1 Sr 0.0822 0.0822 0.0000
2 Sr 0.9178 0.9178 0.0000
3 Li 0.2500 0.7500 0.5000
4 Li 0.7500 0.2500 0.5000
5 Nb 0.3415 0.3415 0.0000
6 Nb 0.5000 0.5000 0.0000
7 Nb 0.6585 0.6585 0.0000
8 O 0.0000 0.5000 0.5000
9 O 0.1488 0.6488 0.5000
10 O 0.2695 0.2695 0.0000
11 O 0.3512 0.8512 0.5000
12 O 0.4239 0.4239 0.0000
13 O 0.5000 0.0000 0.5000
14 O 0.5761 0.5761 0.0000
15 O 0.6488 0.1488 0.5000
16 O 0.7305 0.7305 0.0000
17 O 0.8512 0.3512 0.5000

Calculated values
**SG**: I4/mmm
**Formation energy without anion corrections**: -2.692 eV per atom
**Size of the total moment**: 0.0 Bohr magnetons per cell

=====

A geometry-optimized Sr2LiNb3O10 structure. Source: Alexandria via LeMat-Bulk, functional PBEsol.

abc: 3.9490 3.9490 14.0991
angles: 98.05 98.05 89.97
Atoms (fractional coordinates):
1 Sr 0.0808 0.0808 0.1613
2 Sr 0.9192 0.9192 0.8387
3 Li 0.7544 0.2456 0.5000
4 Nb 0.3461 0.3397 0.6858
5 Nb 0.5038 0.4962 0.0000
6 Nb 0.6603 0.6539 0.3142
7 O 0.0118 0.4690 0.9995
8 O 0.1453 0.6379 0.2823
9 O 0.2821 0.2742 0.5562
10 O 0.3621 0.8547 0.7177
11 O 0.4366 0.4214 0.8575
12 O 0.5310 0.9882 0.0005
13 O 0.5786 0.5634 0.1425
14 O 0.6468 0.1390 0.2859
15 O 0.7258 0.7179 0.4438
16 O 0.8610 0.3532 0.7141

Calculated values
**SG**: C2
**Formation energy without anion corrections**: -2.717 eV per atom
**Size of the total moment**: 0.0 Bohr magnetons per cell

=====

A geometry-optimized Li4NbTe3O12 structure. Source: Alexandria via LeMat-Bulk, functional PBEsol.

abc: 5.1971 5.5725 7.6387
angles: 84.67 89.70 89.94
Atoms (fractional coordinates):
1 Li 0.0000 0.0000 0.0000
2 Li 0.0002 0.0201 0.5003
3 Li 0.4965 0.4980 0.4902
4 Li 0.5040 0.5201 0.0090
5 Nb 0.5009 0.0746 0.2820
6 Te 0.0007 0.5764 0.7829
7 Te 0.0027 0.5745 0.2867
8 Te 0.4988 0.0870 0.7851
9 O 0.1337 0.6077 0.5307
10 O 0.1806 0.9282 0.2315
11 O 0.2011 0.2638 0.8711
12 O 0.3252 0.7934 0.8690
13 O 0.3320 0.4157 0.2354
14 O 0.3663 0.1075 0.5467
15 O 0.6310 0.1053 0.0346
16 O 0.6503 0.4080 0.7295
17 O 0.6814 0.7865 0.3650
18 O 0.8064 0.2795 0.3637
19 O 0.8186 0.9371 0.7298
20 O 0.8727 0.6069 0.0407

Calculated values
**SG**: P1
**Formation energy without anion corrections**: -1.623 eV per atom
**Size of the total moment**: 0.0 Bohr magnetons per cell

=====

A geometry-optimized Li3Nb3TeO12 structure. Source: Alexandria via LeMat-Bulk, functional PBEsol.

abc: 5.1432 5.4430 7.5408
angles: 94.63 90.25 90.01
Atoms (fractional coordinates):
1 Li 0.0000 0.0000 0.0000
2 Li 0.0000 0.0122 0.4893
3 Li 0.5018 0.5076 0.9964
4 Nb 0.0023 0.5660 0.2125
5 Nb 0.4990 0.0683 0.2210
6 Nb 0.5096 0.0816 0.7135
7 Te 0.0023 0.5808 0.7061
8 O 0.1138 0.5983 0.4600
9 O 0.1861 0.8929 0.7608
10 O 0.1963 0.2815 0.1321
11 O 0.3072 0.4040 0.7692
12 O 0.3083 0.7828 0.1292
13 O 0.3702 0.0898 0.4548
14 O 0.6233 0.1030 0.9498
15 O 0.6836 0.4071 0.2385
16 O 0.7156 0.7912 0.6363
17 O 0.8184 0.2836 0.6329
18 O 0.8288 0.9140 0.2539
19 O 0.8701 0.6081 0.9439

Calculated values
**SG**: P1
**Formation energy without anion corrections**: -2.159 eV per atom
**Size of the total moment**: 0.0 Bohr magnetons per cell

=====

A geometry-optimized Li4NbTe3O12 structure. Source: Alexandria via LeMat-Bulk, functional PBEsol.

abc: 4.9845 8.8428 5.2835
angles: 90.00 91.42 90.00
Atoms (fractional coordinates):
1 Li 0.0000 0.0000 0.0000
2 Li 0.0000 0.3540 0.5000
3 Li 0.5000 0.5051 0.5000
4 Li 0.5000 0.8881 0.0000
5 Nb 0.5000 0.0911 0.5000
6 Te 0.0000 0.5916 0.0000
7 Te 0.0000 0.7868 0.5000
8 Te 0.5000 0.2777 0.0000
9 O 0.2023 0.7758 0.8201
10 O 0.2161 0.6276 0.3486
11 O 0.2343 0.9355 0.3522
12 O 0.2710 0.4281 0.8188
13 O 0.2876 0.2550 0.3230
14 O 0.3029 0.0940 0.8241
15 O 0.6971 0.0940 0.1759
16 O 0.7124 0.2550 0.6770
17 O 0.7290 0.4281 0.1812
18 O 0.7657 0.9355 0.6478
19 O 0.7839 0.6276 0.6514
20 O 0.7977 0.7758 0.1799

Calculated values
**SG**: P2
**Formation energy without anion corrections**: -1.613 eV per atom
**Size of the total moment**: 0.0 Bohr magnetons per cell

=====

A geometry-optimized Li7Zr3NbTe4O24 structure. Source: Alexandria via LeMat-Bulk, functional PBEsol.

abc: 18.6231 18.6231 18.6231
angles: 15.95 15.95 15.95
Atoms (fractional coordinates):
1 Li 0.0000 0.0000 0.0000
2 Li 0.1202 0.1202 0.1202
3 Li 0.2498 0.2498 0.2498
4 Li 0.4994 0.4994 0.4994
5 Li 0.6223 0.6223 0.6223
6 Li 0.7492 0.7492 0.7492
7 Li 0.8721 0.8721 0.8721
8 Zr 0.3037 0.3037 0.3037
9 Zr 0.5532 0.5532 0.5532
10 Zr 0.8029 0.8029 0.8029
11 Nb 0.0523 0.0523 0.0523
12 Te 0.1769 0.1769 0.1769
13 Te 0.4262 0.4262 0.4262
14 Te 0.6779 0.6779 0.6779
15 Te 0.9275 0.9275 0.9275
16 O 0.1143 0.4861 0.7345
17 O 0.1169 0.7299 0.3702
18 O 0.1359 0.8680 0.4621
19 O 0.2130 0.8856 0.6191
20 O 0.2321 0.4889 0.8660
21 O 0.2391 0.6170 0.9829
22 O 0.3611 0.7604 0.9694
23 O 0.3702 0.1169 0.7299
24 O 0.3714 0.9634 0.6345
25 O 0.4621 0.1359 0.8680
26 O 0.4861 0.7345 0.1143
27 O 0.4889 0.8660 0.2321
28 O 0.6170 0.9829 0.2391
29 O 0.6191 0.2130 0.8856
30 O 0.6345 0.3714 0.9634
31 O 0.7299 0.3702 0.1169
32 O 0.7345 0.1143 0.4861
33 O 0.7604 0.9694 0.3611
34 O 0.8660 0.2321 0.4889
35 O 0.8680 0.4621 0.1359
36 O 0.8856 0.6191 0.2130
37 O 0.9634 0.6345 0.3714
38 O 0.9694 0.3611 0.7604
39 O 0.9829 0.2391 0.6170

Calculated values
**SG**: R3
**Formation energy without anion corrections**: -2.066 eV per atom
**Size of the total moment**: 0.0 Bohr magnetons per cell

=====

A geometry-optimized Li4Ti3NbO8 structure. Source: Alexandria via LeMat-Bulk, functional PBEsol.

abc: 6.0221 6.0221 6.0221
angles: 57.30 57.30 57.30
Atoms (fractional coordinates):
1 Li 0.0000 0.0000 0.0000
2 Li 0.0000 0.5000 0.5000
3 Li 0.5000 0.0000 0.5000
4 Li 0.5000 0.5000 0.0000
5 Ti 0.0000 0.0000 0.5000
6 Ti 0.0000 0.5000 0.0000
7 Ti 0.5000 0.0000 0.0000
8 Nb 0.5000 0.5000 0.5000
9 O 0.2410 0.7542 0.7542
10 O 0.2441 0.2441 0.2441
11 O 0.2458 0.2458 0.7590
12 O 0.2458 0.7590 0.2458
13 O 0.7542 0.2410 0.7542
14 O 0.7542 0.7542 0.2410
15 O 0.7559 0.7559 0.7559
16 O 0.7590 0.2458 0.2458

Calculated values
**SG**: R-3m
**Formation energy without anion corrections**: -2.535 eV per atom
**Size of the total moment**: 0.0 Bohr magnetons per cell

=====

A geometry-optimized Li2Ti3NbO8 structure. Source: Alexandria via LeMat-Bulk, functional PBEsol.

abc: 5.9801 5.9801 5.9801
angles: 59.91 59.91 59.91
Atoms (fractional coordinates):
1 Li 0.1245 0.1245 0.1245
2 Li 0.8755 0.8755 0.8755
3 Ti 0.0000 0.5000 0.5000
4 Ti 0.5000 0.0000 0.5000
5 Ti 0.5000 0.5000 0.0000
6 Nb 0.5000 0.5000 0.5000
7 O 0.2558 0.2558 0.7183
8 O 0.2558 0.7183 0.2558
9 O 0.2635 0.2635 0.2635
10 O 0.2817 0.7442 0.7442
11 O 0.7183 0.2558 0.2558
12 O 0.7365 0.7365 0.7365
13 O 0.7442 0.2817 0.7442
14 O 0.7442 0.7442 0.2817

Calculated values
**SG**: R-3m
**Formation energy without anion corrections**: -2.720 eV per atom
**Size of the total moment**: 0.0 Bohr magnetons per cell

=====

A geometry-optimized Li2Ti3NbO8 structure. Source: Alexandria via LeMat-Bulk, functional PBEsol.

abc: 5.8934 5.8934 9.6967
angles: 90.00 90.00 120.00
Atoms (fractional coordinates):
1 Li 0.0000 0.0000 0.0000
2 Li 0.0000 0.0000 0.5000
3 Li 0.3333 0.6667 0.0909
4 Li 0.6667 0.3333 0.5909
5 Ti 0.1696 0.3393 0.7775
6 Ti 0.1696 0.8304 0.7775
7 Ti 0.3393 0.1696 0.2775
8 Ti 0.6607 0.8304 0.7775
9 Ti 0.8304 0.1696 0.2775
10 Ti 0.8304 0.6607 0.2775
11 Nb 0.3333 0.6667 0.5096
12 Nb 0.6667 0.3333 0.0096
13 O 0.0000 0.0000 0.1824
14 O 0.0000 0.0000 0.6824
15 O 0.0302 0.5151 0.6569
16 O 0.1636 0.3271 0.3978
17 O 0.1636 0.8364 0.3978
18 O 0.3271 0.1636 0.8978
19 O 0.3333 0.6667 0.8875
20 O 0.4849 0.5151 0.6569
21 O 0.4849 0.9698 0.6569
22 O 0.5151 0.0302 0.1569
23 O 0.5151 0.4849 0.1569
24 O 0.6667 0.3333 0.3875
25 O 0.6729 0.8364 0.3978
26 O 0.8364 0.1636 0.8978
27 O 0.8364 0.6729 0.8978
28 O 0.9698 0.4849 0.1569

Calculated values
**SG**: P6_3mc
**Formation energy without anion corrections**: -2.699 eV per atom
**Size of the total moment**: 0.0 Bohr magnetons per cell

=====

A geometry-optimized Li2Ti3NbO8 structure. Source: Alexandria via LeMat-Bulk, functional PBEsol.

abc: 8.4508 8.4508 8.4508
angles: 90.00 90.00 90.00
Atoms (fractional coordinates):
1 Li 0.0032 0.4968 0.5032
2 Li 0.2468 0.7468 0.7532
3 Li 0.2532 0.2532 0.2532
4 Li 0.4968 0.5032 0.0032
5 Li 0.5032 0.0032 0.4968
6 Li 0.7468 0.7532 0.2468
7 Li 0.7532 0.2468 0.7468
8 Li 0.9968 0.9968 0.9968
9 Ti 0.1240 0.1260 0.6250
10 Ti 0.1250 0.3760 0.8740
11 Ti 0.1260 0.6250 0.1240
12 Ti 0.3740 0.3750 0.6240
13 Ti 0.3750 0.6240 0.3740
14 Ti 0.3760 0.8740 0.1250
15 Ti 0.6240 0.3740 0.3750
16 Ti 0.6250 0.1240 0.1260
17 Ti 0.6260 0.8750 0.8760
18 Ti 0.8740 0.1250 0.3760
19 Ti 0.8750 0.8760 0.6260
20 Ti 0.8760 0.6260 0.8750
21 Nb 0.1250 0.8750 0.3750
22 Nb 0.3750 0.1250 0.8750
23 Nb 0.6250 0.6250 0.6250
24 Nb 0.8750 0.3750 0.1250
25 O 0.1105 0.1200 0.3877
26 O 0.1117 0.6117 0.8883
27 O 0.1123 0.8895 0.6200
28 O 0.1200 0.3877 0.1105
29 O 0.1300 0.1395 0.8623
30 O 0.1383 0.3617 0.6383
31 O 0.1377 0.6300 0.3605
32 O 0.1395 0.8623 0.1300
33 O 0.3605 0.1377 0.6300
34 O 0.3623 0.3700 0.8605
35 O 0.3617 0.6383 0.1383
36 O 0.3700 0.8605 0.3623
37 O 0.3800 0.6123 0.6105
38 O 0.3877 0.1105 0.1200
39 O 0.3883 0.3883 0.3883
40 O 0.3895 0.8800 0.8877
41 O 0.6105 0.3800 0.6123
42 O 0.6123 0.6105 0.3800
43 O 0.6117 0.8883 0.1117
44 O 0.6200 0.1123 0.8895
45 O 0.6300 0.3605 0.1377
46 O 0.6383 0.1383 0.3617
47 O 0.6377 0.8700 0.6395
48 O 0.6395 0.6377 0.8700
49 O 0.8605 0.3623 0.3700
50 O 0.8623 0.1300 0.1395
51 O 0.8617 0.8617 0.8617
52 O 0.8700 0.6395 0.6377
53 O 0.8800 0.8877 0.3895
54 O 0.8883 0.1117 0.6117
55 O 0.8877 0.3895 0.8800
56 O 0.8895 0.6200 0.1123

Calculated values
**SG**: P4_332
**Formation energy without anion corrections**: -2.721 eV per atom
**Size of the total moment**: 0.0 Bohr magnetons per cell

=====

A geometry-optimized Li4Ti3Nb2V3O16 structure. Source: Alexandria via LeMat-Bulk, functional PBEsol.

abc: 5.8341 5.8341 9.6991
angles: 90.64 90.64 60.10
Atoms (fractional coordinates):
1 Li 0.0000 0.0000 0.0000
2 Li 0.0080 0.0080 0.4970
3 Li 0.3353 0.3353 0.4057
4 Li 0.6674 0.6674 0.9071
5 Ti 0.1718 0.6619 0.7235
6 Ti 0.6619 0.1718 0.7235
7 Ti 0.8308 0.8308 0.2260
8 Nb 0.3289 0.3289 0.9957
9 Nb 0.6656 0.6656 0.4945
10 V 0.1830 0.1830 0.7220
11 V 0.3526 0.8236 0.2198
12 V 0.8236 0.3526 0.2198
13 O 0.0073 0.0073 0.3121
14 O 0.0091 0.0091 0.8145
15 O 0.0287 0.5002 0.8462
16 O 0.1668 0.1668 0.1041
17 O 0.1686 0.6696 0.1028
18 O 0.3361 0.8407 0.6031
19 O 0.3426 0.3426 0.6056
20 O 0.4854 0.4854 0.8447
21 O 0.5002 0.0287 0.8462
22 O 0.5172 0.5172 0.3463
23 O 0.5254 0.9716 0.3474
24 O 0.6696 0.1686 0.1028
25 O 0.6715 0.6715 0.1049
26 O 0.8407 0.3361 0.6031
27 O 0.8416 0.8416 0.6010
28 O 0.9716 0.5254 0.3474

Calculated values
**SG**: Cm
**Formation energy without anion corrections**: -2.535 eV per atom
**Size of the total moment**: 6.3 Bohr magnetons per cell